! SrMgSc2Rh | Alexandria via LeMat-Bulk | PBE | relaxed; values from VASP
! **E_form**: -0.285 eV per atom
! **Magnetic moment**: 0.0 μB per formula unit
! **E_tot**: -4.943 eV per atom
&SYSTEM
  ibrav = 0, nat = 5, ntyp = 4
/
ATOMIC_SPECIES
Sr 87.62 Sr.upf
Mg 24.30 Mg.upf
Sc 44.96 Sc.upf
Rh 102.91 Rh.upf
CELL_PARAMETERS angstrom
5.052 0.000 0.000
0.000 5.052 0.000
0.000 0.000 5.306
ATOMIC_POSITIONS crystal
Sr 0.500 0.500 0.500
Mg 0.000 0.000 0.500
Sc 0.000 0.500 0.000
Sc 0.500 0.000 0.000
Rh 0.000 0.000 0.000

! CeGdY2 | Alexandria via LeMat-Bulk | PBE | relaxed; values from VASP
! **E_form**: 0.076 eV per atom
! **Magnetic moment**: 7.9 μB per formula unit
! **E_tot**: -8.160 eV per atom
&SYSTEM
  ibrav = 0, nat = 4, ntyp = 3
/
ATOMIC_SPECIES
Ce 140.12 Ce.upf
Gd 157.25 Gd.upf
Y 88.91 Y.upf
CELL_PARAMETERS angstrom
-0.078 -2.781 4.195
5.003 0.466 0.402
-0.610 4.175 2.757
ATOMIC_POSITIONS crystal
Ce 0.500 0.000 0.000
Gd 0.500 0.500 0.500
Y 0.000 0.000 0.500
Y 0.000 0.500 0.000